# 1
# Mg2SbTe2 PBE relaxed
data_Mg2SbTe2
_chemical_formula_sum 'Mg4 Sb2 Te4'
_symmetry_space_group_name_H-M 'P 1'
_symmetry_Int_Tables_number 1
_cell_length_a 8.4047
_cell_length_b 8.4047
_cell_length_c 3.8626
_cell_angle_alpha 90.00
_cell_angle_beta 90.00
_cell_angle_gamma 90.00
loop_
_symmetry_equiv_pos_as_xyz
'x,y,z'
loop_
_atom_site_label
_atom_site_type_symbol
_atom_site_fract_x
_atom_site_fract_y
_atom_site_fract_z
_atom_site_occupancy
Sb1 Sb 0.0000 0.0000 0.0000 1
Sb2 Sb 0.5000 0.5000 0.0000 1
Mg1 Mg 0.1458 0.6458 0.5000 1
Mg2 Mg 0.6458 0.8542 0.5000 1
Mg3 Mg 0.8542 0.3542 0.5000 1
Mg4 Mg 0.3542 0.1458 0.5000 1
Te1 Te 0.3403 0.8403 0.0000 1
Te2 Te 0.8403 0.6597 0.0000 1
Te3 Te 0.6597 0.1597 0.0000 1
Te4 Te 0.1597 0.3403 0.0000 1
# Uncorrected formation energy (eV/atom): -0.222
# Density of states at the Fermi level (states/eV/atom): 0.4455

# 2
# SrCu13 PBE relaxed
data_SrCu13
_chemical_formula_sum 'Sr2 Cu26'
_symmetry_space_group_name_H-M 'P 1'
_symmetry_Int_Tables_number 1
_cell_length_a 8.2381
_cell_length_b 8.2381
_cell_length_c 8.2381
_cell_angle_alpha 60.00
_cell_angle_beta 60.00
_cell_angle_gamma 60.00
loop_
_symmetry_equiv_pos_as_xyz
'x,y,z'
loop_
_atom_site_label
_atom_site_type_symbol
_atom_site_fract_x
_atom_site_fract_y
_atom_site_fract_z
_atom_site_occupancy
Sr1 Sr 0.7500 0.7500 0.7500 1
Sr2 Sr 0.2500 0.2500 0.2500 1
Cu1 Cu 0.4357 0.5643 0.2039 1
Cu2 Cu 0.2039 0.7961 0.4357 1
Cu3 Cu 0.7961 0.2039 0.5643 1
Cu4 Cu 0.5643 0.4357 0.7961 1
Cu5 Cu 0.5643 0.7961 0.2039 1
Cu6 Cu 0.7961 0.5643 0.4357 1
Cu7 Cu 0.2039 0.4357 0.5643 1
Cu8 Cu 0.4357 0.2039 0.7961 1
Cu9 Cu 0.7961 0.4357 0.2039 1
Cu10 Cu 0.5643 0.2039 0.4357 1
Cu11 Cu 0.4357 0.7961 0.5643 1
Cu12 Cu 0.2039 0.5643 0.7961 1
Cu13 Cu 0.2961 0.9357 0.0643 1
Cu14 Cu 0.0643 0.7039 0.2961 1
Cu15 Cu 0.9357 0.2961 0.7039 1
Cu16 Cu 0.7039 0.0643 0.9357 1
Cu17 Cu 0.2961 0.7039 0.9357 1
Cu18 Cu 0.0643 0.9357 0.7039 1
Cu19 Cu 0.9357 0.0643 0.2961 1
Cu20 Cu 0.7039 0.2961 0.0643 1
Cu21 Cu 0.2961 0.0643 0.7039 1
Cu22 Cu 0.0643 0.2961 0.9357 1
Cu23 Cu 0.9357 0.7039 0.0643 1
Cu24 Cu 0.7039 0.9357 0.2961 1
Cu25 Cu 0.5000 0.5000 0.5000 1
Cu26 Cu 0.0000 0.0000 0.0000 1
# Formation energy (meV per atom): -28
# Density of states at the Fermi level (states/eV/atom): 0.4590

no.,electronic total energy (eV/atom)
1,-2.9406
2,-3.9517